# CrSbS2N

Crystalline CrSbS2N at its relaxed geometry (GGA-PBE, Alexandria via LeMat-Bulk).

Values from the calculation:
* energy above the lowest structure with this stoichiometry: 0.000 eV/atom
* formation energy without anion corrections: 0.0788 eV/atom
* DOS(E_F): 0.578 states/eV per atom
* volume: 16.7 A^3/atom
* raw total energy: -5.99 eV per atom

```
CrSbS2N
1.0
4.8275 0.0000 0.0000
0.0000 4.8275 0.0000
0.0000 0.0000 3.5801
S N Sb Cr
2 1 1 1
direct
0.0000 0.5000 0.0000
0.5000 0.0000 0.0000
0.0000 0.0000 0.5000
0.5000 0.5000 0.5000
0.0000 0.0000 0.0000
```

# Cd3PdRh

Crystalline Cd3PdRh at its relaxed geometry (GGA-PBE, Alexandria via LeMat-Bulk).

Values from the calculation:
* energy relative to the elements: 0.46 eV/atom
* energy above the lowest structure with this stoichiometry: 0.000 eV/atom
* DOS(E_F): 0.334 states/eV per atom
* volume: 26.0 A^3/atom
* raw total energy: -2.59 eV per atom

```
Cd3PdRh
1.0
-0.5708 -2.4899 4.3738
-0.4127 -4.3638 -2.5381
5.0159 -0.6424 0.2889
Rh Cd Pd
1 3 1
direct
0.0000 0.0000 0.0000
0.0000 0.5000 0.0000
0.0000 0.0000 0.5000
0.5000 0.0000 0.0000
0.5000 0.5000 0.5000
```

# NiIrSe2

Crystalline NiIrSe2 at its relaxed geometry (GGA-PBE, Alexandria via LeMat-Bulk).

Values from the calculation:
* formation energy without anion corrections: -0.0525 eV/atom
* DOS(E_F): 1.105 states/eV per atom
* volume: 19.6 A^3/atom
* raw total energy: -5.46 eV per atom

```
NiIrSe2
1.0
3.7374 0.0000 0.0000
0.0000 3.7370 -0.0765
0.0000 0.1148 5.6136
Ir Ni Se
1 1 2
direct
0.0000 0.3748 0.6247
0.5000 0.8751 0.6256
0.5000 0.3754 0.3411
0.0000 0.8747 0.9086
```

# AcEr3Pd

Crystalline AcEr3Pd at its relaxed geometry (GGA-PBE, Alexandria via LeMat-Bulk).

Values from the calculation:
* energy relative to the elements: -0.24 eV/atom
* DOS(E_F): 1.541 states/eV per atom
* volume: 33.1 A^3/atom
* raw total energy: -4.84 eV per atom

```
AcEr3Pd
1.0
5.4913 0.0000 0.0000
0.0000 5.4913 0.0000
0.0000 0.0000 5.4913
Er Pd Ac
3 1 1
direct
0.5000 0.0000 0.0000
0.0000 0.0000 0.5000
0.0000 0.5000 0.0000
0.0000 0.0000 0.0000
0.5000 0.5000 0.5000
```

Q: Which of these has the highest raw total energy?
A: Cd3PdRh

Q: The highest volume belongs to which entry?
A: AcEr3Pd

Please write out number 1 again, unchanged.
# CrSbS2N

Crystalline CrSbS2N at its relaxed geometry (GGA-PBE, Alexandria via LeMat-Bulk).

Values from the calculation:
* energy above the lowest structure with this stoichiometry: 0.000 eV/atom
* formation energy without anion corrections: 0.0788 eV/atom
* DOS(E_F): 0.578 states/eV per atom
* volume: 16.7 A^3/atom
* raw total energy: -5.99 eV per atom

```
CrSbS2N
1.0
4.8275 0.0000 0.0000
0.0000 4.8275 0.0000
0.0000 0.0000 3.5801
S N Sb Cr
2 1 1 1
direct
0.0000 0.5000 0.0000
0.5000 0.0000 0.0000
0.0000 0.0000 0.5000
0.5000 0.5000 0.5000
0.0000 0.0000 0.0000
```